# 1
Entry from Alexandria via LeMat-Bulk: a relaxed Sn2BiPbAu crystal (GGA-PBE).

Results
As for the energy of formation: -0.5 kcal/mol of atoms. Its total energy is -3.80 eV per atom.

abc: 7.017 4.745 9.235
angles: 90.00 97.45 90.00
Space group P2_1/m (No. 11)
Asymmetric unit:
Sn 0.034 0.250 0.183 [2 per cell]
Sn 0.357 0.750 0.389 [2 per cell]
Bi 0.189 0.250 0.548 [2 per cell]
Pb 0.326 0.250 0.908 [2 per cell]
Au 0.216 0.750 0.090 [2 per cell]



# 2
Entry from Alexandria via LeMat-Bulk: a relaxed Sn2BiPbAu4 crystal (GGA-PBE).

Results
As for the energy of formation: -1.6 kcal/mol of atoms. Its total energy is -3.66 eV per atom.

abc: 8.925 11.603 7.741
angles: 90.00 90.00 90.00
Space group Fmm2 (No. 42)
Asymmetric unit:
Sn 0.250 0.250 0.000 [8 per cell]
Bi 0.000 0.000 0.251 [4 per cell]
Pb 0.000 0.000 0.751 [4 per cell]
Au 0.000 0.249 0.750 [8 per cell]
Au 0.250 0.000 0.001 [8 per cell]



# 3
Entry from Alexandria via LeMat-Bulk: a relaxed SnBi2PbAu4 crystal (GGA-PBE).

Results
As for the energy of formation: -1.2 kcal/mol of atoms. Its total energy is -3.62 eV per atom.

abc: 9.149 11.779 7.617
angles: 90.00 90.00 90.00
Space group Fmm2 (No. 42)
Asymmetric unit:
Sn 0.000 0.000 0.000 [4 per cell]
Bi 0.250 0.250 0.249 [8 per cell]
Pb 0.000 0.000 0.499 [4 per cell]
Au 0.000 0.243 0.999 [8 per cell]
Au 0.250 0.000 0.250 [8 per cell]



# 4
Entry from Alexandria via LeMat-Bulk: a relaxed Sn2Bi2Pb4Au crystal (GGA-PBE).

Results
As for the energy of formation: 0.3 kcal/mol of atoms. Its total energy is -3.75 eV per atom.

abc: 6.904 7.077 7.192
angles: 60.73 66.51 86.79
Space group P-1 (No. 2)
Asymmetric unit:
Sn 0.148 0.314 0.015 [2 per cell]
Bi 0.253 0.767 0.512 [2 per cell]
Pb 0.210 0.297 0.510 [2 per cell]
Pb 0.294 0.884 0.976 [2 per cell]
Au 0.500 0.500 0.000 [1 per cell]



# 5
Entry from Alexandria via LeMat-Bulk: a relaxed SnBiPb2Au4 crystal (GGA-PBE).

Results
As for the energy of formation: -1.3 kcal/mol of atoms. Its total energy is -3.61 eV per atom.

abc: 7.294 3.957 7.477
angles: 90.00 106.64 90.00
Space group P2/m (No. 10)
Asymmetric unit:
Sn 0.000 0.000 0.000 [1 per cell]
Bi 0.500 0.500 0.000 [1 per cell]
Pb 0.000 0.500 0.500 [1 per cell]
Pb 0.500 0.000 0.500 [1 per cell]
Au 0.238 0.500 0.237 [2 per cell]
Au 0.245 0.000 0.759 [2 per cell]



# 6
Entry from Alexandria via LeMat-Bulk: a relaxed Sr2BiPbAu6 crystal (GGA-PBE).

Results
As for the energy of formation: -1.9 kcal/mol of atoms. Its total energy is -3.14 eV per atom.

abc: 10.853 10.853 10.853
angles: 90.00 90.00 90.00
Space group Fm-3m (No. 225)
Asymmetric unit:
Sr 0.250 0.250 0.250 [8 per cell]
Bi 0.000 0.000 0.000 [4 per cell]
Pb 0.000 0.000 0.500 [4 per cell]
Au 0.000 0.000 0.251 [24 per cell]



# 7
Entry from Alexandria via LeMat-Bulk: a relaxed TaBiPbAu2 crystal (GGA-PBE).

Results
As for the energy of formation: 12.6 kcal/mol of atoms. Its total energy is -4.65 eV per atom.

abc: 5.203 5.203 5.438
angles: 90.00 90.00 90.00
Space group P4/mmm (No. 123)
Asymmetric unit:
Ta 0.000 0.000 0.000 [1 per cell]
Bi 0.000 0.000 0.500 [1 per cell]
Pb 0.500 0.500 0.500 [1 per cell]
Au 0.000 0.500 0.000 [2 per cell]



# 8
Entry from Alexandria via LeMat-Bulk: a relaxed BiTe3PbAu crystal (GGA-PBE).

Results
Its total energy is -3.58 eV per atom.

abc: 8.754 4.422 10.275
angles: 90.00 100.00 90.00
Space group P2_1/m (No. 11)
Asymmetric unit:
Bi 0.169 0.250 0.142 [2 per cell]
Te 0.088 0.250 0.840 [2 per cell]
Te 0.231 0.250 0.468 [2 per cell]
Te 0.421 0.750 0.137 [2 per cell]
Pb 0.320 0.750 0.699 [2 per cell]
Au 0.437 0.750 0.410 [2 per cell]



# 9
Entry from Alexandria via LeMat-Bulk: a relaxed TlBiPbAu crystal (GGA-PBE).

Results
As for the energy of formation: 1.4 kcal/mol of atoms. Its total energy is -3.25 eV per atom. The polymorph energy (0 for the lowest one) comes out at 82.6 meV/atom.

abc: 7.661 7.661 7.661
angles: 90.00 90.00 90.00
Space group F-43m (No. 216)
Asymmetric unit:
Tl 0.000 0.000 0.000 [4 per cell]
Bi 0.250 0.250 0.750 [4 per cell]
Pb 0.000 0.000 0.500 [4 per cell]
Au 0.250 0.250 0.250 [4 per cell]



# 10
Entry from Alexandria via LeMat-Bulk: a relaxed Tl2BiPbAu crystal (GGA-PBE).

Results
As for the energy of formation: 2.1 kcal/mol of atoms. Its total energy is -3.03 eV per atom.

abc: 4.656 4.656 14.778
angles: 90.00 90.00 90.00
Space group P4/nmm (No. 129, origin choice 2)
Asymmetric unit:
Tl 0.250 0.250 0.099 [2 per cell]
Tl 0.250 0.250 0.712 [2 per cell]
Bi 0.250 0.750 0.500 [2 per cell]
Pb 0.250 0.250 0.330 [2 per cell]
Au 0.250 0.250 0.905 [2 per cell]



# 11
Entry from Alexandria via LeMat-Bulk: a relaxed Tl2Bi2Pb2Au crystal (GGA-PBE).

Results
As for the energy of formation: -0.2 kcal/mol of atoms. Its total energy is -3.32 eV per atom.

abc: 5.571 6.354 6.694
angles: 82.03 65.72 88.99
Space group P-1 (No. 2)
Asymmetric unit:
Tl 0.066 0.269 0.373 [2 per cell]
Bi 0.374 0.356 0.753 [2 per cell]
Pb 0.251 0.826 0.990 [2 per cell]
Au 0.500 0.000 0.500 [1 per cell]



# 12
Entry from Alexandria via LeMat-Bulk: a relaxed TlBiPbAu2 crystal (GGA-PBE).

Results
As for the energy of formation: -0.8 kcal/mol of atoms. Its total energy is -3.34 eV per atom.

abc: 13.829 4.551 11.066
angles: 90.00 126.50 90.00
Space group C2/m (No. 12)
Asymmetric unit:
Tl 0.137 0.000 0.150 [4 per cell]
Bi 0.093 0.000 0.444 [4 per cell]
Pb 0.123 0.500 0.882 [4 per cell]
Au 0.144 0.500 0.329 [4 per cell]
Au 0.189 0.000 0.770 [4 per cell]